La8GaAs3I4: optimized geometry, PBE.

Unit cell a=8.860 b=9.296 c=8.860 alpha=118.46 beta=120.00 gamma=90.00
Fractional coordinates of all 16 atoms:
1 I 0.500 0.000 0.000
2 As 0.500 0.500 0.500
3 La 0.765 0.297 0.031
4 La 0.734 0.703 0.969
5 La 0.235 0.703 0.469
6 La 0.765 0.297 0.531
7 I 0.000 0.000 0.500
8 As 0.500 0.500 0.000
9 I 0.500 0.000 0.500
10 Ga 0.000 0.500 0.000
11 La 0.235 0.703 0.969
12 La 0.267 0.300 0.533
13 La 0.733 0.700 0.467
14 As 0.000 0.500 0.500
15 La 0.266 0.297 0.031
16 I 0.000 0.000 0.000

**Uncorrected formation energy**: -1.27 eV per atom
**SG**: R-3m (166)
**Density**: 6.0 g/cm3



La8Ga3AsI4: optimized geometry, PBE.

Unit cell a=8.999 b=9.241 c=8.999 alpha=119.14 beta=120.00 gamma=90.00
Fractional coordinates of all 16 atoms:
1 La 0.263 0.288 0.525
2 Ga 0.500 0.500 0.500
3 La 0.737 0.712 0.475
4 I 0.000 0.000 0.000
5 La 0.264 0.290 0.027
6 Ga 0.500 0.500 0.000
7 La 0.237 0.710 0.474
8 La 0.763 0.290 0.526
9 I 0.500 0.000 0.000
10 La 0.237 0.710 0.973
11 Ga 0.000 0.500 0.500
12 I 0.500 0.000 0.500
13 La 0.763 0.290 0.027
14 La 0.736 0.710 0.973
15 I 0.000 0.000 0.500
16 As 0.000 0.500 0.000

**Uncorrected formation energy**: -0.98 eV per atom
**SG**: R-3m (166)
**Density**: 5.9 g/cm3



Which value of uncorrected formation energy does entry 2 give?
-0.98 eV per atom



The lowest density belongs to which entry?
La8Ga3AsI4